Al2NiGeOs | PBE | optimized geometry

Unit cell a=4.636 b=4.636 c=4.187 alpha=90.00 beta=90.00 gamma=90.00
Sites, in units of the cell vectors:
1 Al 0.000 0.500 0.000
2 Al 0.500 0.000 0.000
3 Ni 0.000 0.000 0.500
4 Ge 0.000 0.000 0.000
5 Os 0.500 0.500 0.500

Calculated values
The total energy comes out at -23.17 eV per formula unit. The energy of formation comes out at 1188 meV/atom.

AlNi7Ge2P2 | PBE | optimized geometry

Unit cell a=3.511 b=3.511 c=13.264 alpha=93.68 beta=93.68 gamma=90.73
Sites, in units of the cell vectors:
1 Al 0.000 0.000 0.000
2 Ni 0.036 0.536 0.140
3 Ni 0.391 0.391 0.593
4 Ni 0.464 0.964 0.860
5 Ni 0.500 0.500 0.000
6 Ni 0.536 0.036 0.140
7 Ni 0.609 0.609 0.407
8 Ni 0.964 0.464 0.860
9 Ge 0.130 0.130 0.416
10 Ge 0.870 0.870 0.584
11 P 0.440 0.440 0.760
12 P 0.560 0.560 0.240

Calculated values
The total energy comes out at -68.14 eV per formula unit. The energy of formation comes out at -322 meV/atom.

Pa2AlNi4Ge3 | PBE | optimized geometry

Unit cell a=4.065 b=4.065 c=9.704 alpha=90.00 beta=90.00 gamma=90.00
Sites, in units of the cell vectors:
1 Pa 0.000 0.500 0.241
2 Pa 0.500 0.000 0.759
3 Al 0.000 0.000 0.500
4 Ni 0.000 0.000 0.000
5 Ni 0.000 0.500 0.634
6 Ni 0.500 0.000 0.366
7 Ni 0.500 0.500 0.000
8 Ge 0.000 0.500 0.871
9 Ge 0.500 0.000 0.129
10 Ge 0.500 0.500 0.500

Calculated values
The total energy comes out at -65.93 eV per formula unit. The energy of formation comes out at -622 meV/atom.

PaAlNi5Ge2 | PBE | optimized geometry

Unit cell a=4.266 b=4.266 c=7.515 alpha=90.00 beta=90.00 gamma=90.00
Sites, in units of the cell vectors:
1 Pa 0.000 0.000 0.000
2 Al 0.000 0.000 0.500
3 Ni 0.000 0.500 0.219
4 Ni 0.000 0.500 0.781
5 Ni 0.500 0.000 0.219
6 Ni 0.500 0.000 0.781
7 Ni 0.500 0.500 0.000
8 Ge 0.500 0.500 0.340
9 Ge 0.500 0.500 0.660

Calculated values
The total energy comes out at -52.93 eV per formula unit. The energy of formation comes out at -172 meV/atom.